(1)
BaMg2Ru, optimized geometry, DFT PBE; symmetry = F-43m; mass density = 4.89 Mg/m³; ΔH_f (0 K) = 0.437 eV per atom; spin magnetization = 0.000 μB/cell
1.0
0.0000 3.6513 3.6513
3.6513 0.0000 3.6513
3.6513 3.6513 0.0000
Ba Mg Ru
1 2 1
Direct
0.0000 0.0000 0.0000
0.5000 0.5000 0.5000
0.7500 0.7500 0.7500
0.2500 0.2500 0.2500

***

(2)
Ba2MgRu, optimized geometry, DFT PBE; symmetry = R-3m; mass density = 4.63 Mg/m³; ΔH_f (0 K) = 0.545 eV per atom; spin magnetization = 0.004 μB/cell
1.0
2.0099 1.1604 10.2513
-2.0099 1.1604 10.2513
0.0000 -2.3208 10.2513
Ba Mg Ru
2 1 1
Direct
0.2325 0.2325 0.2325
0.7675 0.7675 0.7675
0.0000 0.0000 0.0000
0.5000 0.5000 0.5000

***

- Which of these has the highest spin magnetization?
  Ba2MgRu